(P)
Density functional theory data (GGA-PBE) for a relaxed structure of Pu3TlPd2.

Properties
DOS(E_F) = 1.62 states/eV per atom
volume = 22.645 Å³ per atom
ρ = 14.046 g/cm³

abc: 8.557 8.557 8.557
angles: 43.73 43.73 43.73
Each line ends with the local moment (μB).
Sites, in units of the cell vectors:
Pu 0.536 0.964 0.750  1.27
Pu 0.964 0.750 0.536  1.27
Pu 0.750 0.536 0.964  1.27
Pu 0.464 0.036 0.250  1.27
Pu 0.036 0.250 0.464  1.27
Pu 0.250 0.464 0.036  1.27
Tl 0.500 0.500 0.500  -0.01
Tl 0.000 0.000 0.000  -0.01
Pd 0.372 0.372 0.372  -0.02
Pd 0.128 0.128 0.128  -0.02
Pd 0.872 0.872 0.872  -0.02
Pd 0.628 0.628 0.628  -0.02

=====

(Q)
Density functional theory data (GGA-PBE) for a relaxed structure of Pu3TlPd2.

Properties
DOS(E_F) = 4.31 states/eV per atom
volume = 23.234 Å³ per atom
ρ = 13.689 g/cm³

abc: 3.320 3.320 12.646
angles: 90.00 90.00 90.00
Each line ends with the local moment (μB).
Sites, in units of the cell vectors:
Pu 0.000 0.000 0.000  -5.28
Pu 0.000 0.000 0.693  5.37
Pu 0.000 0.000 0.307  5.37
Tl 0.500 0.500 0.500  -0.06
Pd 0.500 0.500 0.847  0.00
Pd 0.500 0.500 0.153  0.00

=====

Winner for stability: (Q)

=====

(P)
Density functional theory data (GGA-PBE) for a relaxed structure of TmPuPd4.

Properties
DOS(E_F) = 2.86 states/eV per atom
volume = 22.007 Å³ per atom
ρ = 10.546 g/cm³

abc: 3.961 3.963 8.410
angles: 89.99 90.00 90.00
Each line ends with the local moment (μB).
Sites, in units of the cell vectors:
Tm 0.001 0.997 0.498  0.04
Pu 0.501 0.497 0.998  5.14
Pd 0.501 0.997 0.253  -0.05
Pd 0.501 0.997 0.743  -0.05
Pd 0.001 0.497 0.743  -0.05
Pd 0.001 0.497 0.253  -0.05

=====

(Q)
Density functional theory data (GGA-PBE) for a relaxed structure of TmPuPd4.

Properties
DOS(E_F) = 2.93 states/eV per atom
volume = 18.905 Å³ per atom
ρ = 12.276 g/cm³

abc: 5.434 5.434 5.434
angles: 60.00 60.00 60.00
Each line ends with the local moment (μB).
Sites, in units of the cell vectors:
Tm 0.000 0.000 0.000  0.18
Pd 0.625 0.625 0.125  -0.08
Pd 0.625 0.125 0.625  -0.08
Pd 0.625 0.625 0.625  -0.08
Pd 0.125 0.625 0.625  -0.08
Pu 0.250 0.250 0.250  5.24

=====

Winner for stability: (Q)

=====

(P)
Density functional theory data (GGA-PBE) for a relaxed structure of PuUPd.

Properties
DOS(E_F) = 1.86 states/eV per atom
volume = 20.585 Å³ per atom
ρ = 15.823 g/cm³

abc: 3.582 3.582 5.438
angles: 109.23 109.23 90.00
Each line ends with the local moment (μB).
Sites, in units of the cell vectors:
U 0.334 0.334 0.667  1.89
Pd 0.995 0.995 0.990  0.06
Pu 0.671 0.671 0.343  5.14

=====

(Q)
Density functional theory data (GGA-PBE) for a relaxed structure of PuUPd.

Properties
DOS(E_F) = 1.80 states/eV per atom
volume = 18.956 Å³ per atom
ρ = 17.182 g/cm³

abc: 3.376 3.467 11.129
angles: 88.84 90.00 119.14
Sites, in units of the cell vectors:
Pu 0.149 0.298 0.066
Pu 0.851 0.702 0.934
Pd 0.339 0.678 0.412
Pd 0.661 0.322 0.588
U 0.324 0.647 0.768
U 0.676 0.353 0.232

=====

Winner for stability: (P)